1.
The following is a DFT calculation (PBE-GGA) of an optimized crystal structure of Ce2TmPu.

```
Ce2TmPu
1.0
4.8604 0.0000 0.0000
0.0000 4.8604 0.0000
0.0000 0.0000 4.6974
Ce Tm Pu
2 1 1
direct
0.0000 0.5000 0.0000
0.5000 0.0000 0.0000
0.0000 0.0000 0.5000
0.5000 0.5000 0.5000
```

magnetization	7.12	μB per formula unit
E above lowest polymorph	6.2	meV per atom
volume	111.0	Å³ per cell
space group	P4/mmm
calculated density	10.4	Mg/m³

2.
The following is a DFT calculation (PBE-GGA) of an optimized crystal structure of Ce5TmPu.

```
Ce5TmPu
1.0
5.9701 -4.3340 0.0000
5.9701 4.3340 0.0000
-3.7654 0.0000 7.3876
Ce Tm Pu
10 2 2
direct
0.1111 0.8889 0.7500
0.1146 0.7310 0.0058
0.1412 0.3377 0.7987
0.2690 0.8854 0.4942
0.3377 0.1412 0.2987
0.6623 0.8588 0.7013
0.7310 0.1146 0.5058
0.8588 0.6623 0.2013
0.8854 0.2690 0.9942
0.8889 0.1111 0.2500
0.4926 0.5074 0.7500
0.5074 0.4926 0.2500
0.0000 0.5000 0.5000
0.5000 0.0000 0.0000
```

magnetization	5.61	μB per formula unit
volume	382.3	Å³ per cell
space group	C2/c
calculated density	9.7	Mg/m³
electronic total energy	-93.5	eV per cell

3.
The following is a DFT calculation (PBE-GGA) of an optimized crystal structure of Ce2TmPu.

```
Ce2TmPu
1.0
3.3801 0.0000 0.0000
0.0000 3.3801 0.0000
0.0000 0.0000 9.5882
Ce Tm Pu
2 1 1
direct
0.0000 0.0000 0.2317
0.0000 0.0000 0.7683
0.5000 0.5000 0.5000
0.5000 0.5000 0.0000
```

magnetization	4.29	μB per formula unit
E above lowest polymorph	0.0	meV per atom
volume	109.5	Å³ per cell
space group	P4/mmm
calculated density	10.5	Mg/m³